2
Lattice="-1.864 -3.666 0.569 1.457 -2.651 2.844 -2.161 -0.713 3.473" Properties=species:S:1:pos:R:3 comment="AsP (GGA-PBE, relaxed)" crystal_system=cubic m_tot_mub_per_fu=0.00 polymorph_energy_mev_per_atom=447 pbc="T T T"
P -1.926 -5.272 5.165
As 0.000 0.000 0.000

8
Lattice="5.978 0.000 0.000 0.000 3.435 0.000 -5.806 0.000 11.034" Properties=species:S:1:pos:R:3 comment="AsP (GGA-PBE, relaxed)" crystal_system=monoclinic m_tot_mub_per_fu=0.00 polymorph_energy_mev_per_atom=1 pbc="T T T"
P 2.015 0.000 3.348
P -0.888 1.718 8.865
As 1.107 1.718 7.543
As 4.010 0.000 2.026
P 1.060 1.718 2.169
As -3.837 0.000 9.009
As -0.934 1.718 3.491
P -1.843 0.000 7.687

8
Lattice="-2.050 -0.688 6.445 -4.300 -1.329 -5.095 1.000 -3.162 -0.019" Properties=species:S:1:pos:R:3 comment="AsP3 (GGA-PBE, relaxed)" crystal_system=hexagonal m_tot_mub_per_fu=0.00 polymorph_energy_mev_per_atom=352 pbc="T T T"
P -4.410 -2.276 1.939
P -2.157 -1.580 4.608
P -4.267 -3.959 0.098
P -3.193 -3.599 -3.278
P -1.083 -1.220 1.232
P -0.940 -2.902 -0.609
As -2.050 -3.273 2.584
As -3.300 -1.906 -1.253

4
Lattice="-7.564 -0.462 -2.468 -7.491 -1.704 2.121 7.187 3.353 0.793" Properties=species:S:1:pos:R:3 comment="AsP3 (GGA-PBE, relaxed)" crystal_system=tetragonal m_tot_mub_per_fu=0.00 polymorph_energy_mev_per_atom=563 pbc="T T T"
P -3.952 0.904 -0.924
P -7.528 -1.083 -0.173
P -3.916 0.283 1.370
As 0.000 0.000 0.000

What did we get for calculated formation energy? Answer: 48; 5; 40; 60 kJ/mol of atoms, in the order shown.